Entry 1:
Below is crystalline Zr2HgSb at its relaxed geometry, with properties calculated at the PBE level.

a b c (Å): 4.215 4.105 10.740
angles (deg): 90.00 90.00 90.00
Space group Amm2 (No. 38)
Symmetry-distinct sites (fractional):
Zr 0.000 0.000 0.000 [2 per cell]
Zr 0.500 0.000 0.260 [2 per cell]
Hg 0.000 0.000 0.736 [2 per cell]
Sb 0.500 0.000 0.536 [2 per cell]

Formation energy (no corrections), meV/atom: -351
DOS(E_F), states/eV per cell: 4.63

---

Entry 2:
Below is crystalline Tl15InTe4 at its relaxed geometry, with properties calculated at the PBE level.

a b c (Å): 5.033 5.033 25.321
angles (deg): 90.00 90.00 90.00
Space group P4/mmm (No. 123)
Symmetry-distinct sites (fractional):
Tl 0.000 0.000 0.000 [1 per cell]
Tl 0.000 0.000 0.194 [2 per cell]
Tl 0.000 0.000 0.398 [2 per cell]
Tl 0.000 0.500 0.094 [4 per cell]
Tl 0.000 0.500 0.296 [4 per cell]
Tl 0.000 0.500 0.500 [2 per cell]
In 0.500 0.500 0.000 [1 per cell]
Te 0.500 0.500 0.200 [2 per cell]
Te 0.500 0.500 0.400 [2 per cell]

Formation energy (no corrections), meV/atom: -146
DOS(E_F), states/eV per cell: 7.34

---

Entry 3:
Below is crystalline EuHfRh4 at its relaxed geometry, with properties calculated at the PBE level.

a b c (Å): 7.483 7.483 7.483
angles (deg): 90.00 90.00 90.00
Space group F-43m (No. 216)
Symmetry-distinct sites (fractional):
Eu 0.000 0.000 0.000 [4 per cell]
Hf 0.250 0.250 0.750 [4 per cell]
Rh 0.125 0.125 0.375 [16 per cell]

E_form, eV/atom: -0.474
DOS(E_F), states/eV per cell: 41.11

---

Copy entry 3 word for word.
Below is crystalline EuHfRh4 at its relaxed geometry, with properties calculated at the PBE level.

a b c (Å): 7.483 7.483 7.483
angles (deg): 90.00 90.00 90.00
Space group F-43m (No. 216)
Symmetry-distinct sites (fractional):
Eu 0.000 0.000 0.000 [4 per cell]
Hf 0.250 0.250 0.750 [4 per cell]
Rh 0.125 0.125 0.375 [16 per cell]

E_form, eV/atom: -0.474
DOS(E_F), states/eV per cell: 41.11

---

- DOS(E_F) of number 1 (Zr2HgSb)?
  4.63 states/eV per cell

---

- Which of these has the highest DOS(E_F)?
  EuHfRh4